Entry 1:
RbYCl4 GGA-PBE relaxed; magnetization = 0.0 Bohr magnetons per cell; E_form (uncorrected) = -2.128 eV per atom; space group = C2/m (12); ΔE to the lowest computed polymorph = 1.60 kcal/mol of atoms; D(E_F) = 0.0 states/eV/cell; volume = 199.27 Å³/f.u.
1.0
6.610 0.000 3.208
-0.012 7.164 0.025
0.000 -0.273 8.415
Rb Y Cl
2 2 8
Cartesian
5.185 1.788 6.145 Rb
1.413 5.102 5.503 Rb
3.526 4.944 9.564 Y
3.072 1.947 2.084 Y
4.590 5.839 7.372 Cl
4.069 3.968 3.688 Cl
4.904 0.000 2.380 Cl
5.403 2.923 9.355 Cl
2.009 1.052 4.276 Cl
2.529 2.923 7.960 Cl
1.706 0.000 0.828 Cl
1.196 3.968 2.293 Cl


Entry 2:
Rb2YCl5 GGA-PBE relaxed; magnetization = 0.0 Bohr magnetons per cell; E_form (uncorrected) = -2.082 eV per atom; space group = Cm (8); ΔE to the lowest computed polymorph = 1.86 kcal/mol of atoms; D(E_F) = 0.0 states/eV/cell; volume = 301.73 Å³/f.u.
1.0
8.039 0.000 0.000
0.000 8.040 -0.012
-4.019 -4.028 4.674
Rb Y Cl
2 1 5
Cartesian
0.000 4.020 2.272 Rb
4.020 -0.016 2.278 Rb
4.020 4.013 4.419 Y
6.224 1.810 0.255 Cl
1.815 1.810 0.255 Cl
6.229 6.224 0.227 Cl
1.811 6.224 0.226 Cl
4.020 4.036 1.947 Cl


Entry 3:
Rb2YCl GGA-PBE relaxed; magnetization = 2.0 Bohr magnetons per cell; E_form (uncorrected) = 0.122 eV per atom; space group = Fm-3m (225); ΔE to the lowest computed polymorph = 9.38 kcal/mol of atoms; D(E_F) = 3.6 states/eV/cell; volume = 209.21 Å³/f.u.
1.0
5.374 -1.855 3.476
3.810 4.601 2.952
0.024 0.545 6.641
Y Rb Cl
1 2 1
Cartesian
4.604 1.646 6.534 Y
2.302 0.823 3.267 Rb
6.906 2.469 9.802 Rb
0.000 0.000 0.000 Cl


Entry 4:
Rb2YCl5 GGA-PBE relaxed; magnetization = 0.0 Bohr magnetons per cell; E_form (uncorrected) = -2.163 eV per atom; space group = Pnma (62); ΔE to the lowest computed polymorph = 0.00 kcal/mol of atoms; D(E_F) = 0.0 states/eV/cell; volume = 245.50 Å³/f.u.
1.0
-6.255 -3.885 3.928
0.773 -6.823 -5.518
8.764 -5.721 8.300
Rb Y Cl
8 4 20
Cartesian
4.946 -9.892 5.802 Rb
-1.664 -6.537 0.908 Rb
0.407 -10.832 6.509 Rb
-2.040 -3.213 3.597 Rb
2.874 -5.596 0.200 Rb
5.322 -13.215 3.113 Rb
3.251 -8.920 -2.488 Rb
0.031 -7.508 9.198 Rb
1.913 -6.267 4.501 Y
1.369 -10.161 2.209 Y
3.479 -14.432 7.785 Y
-0.197 -1.996 -1.076 Y
4.041 -5.063 3.311 Cl
-0.759 -11.365 3.399 Cl
5.422 -13.108 6.420 Cl
-2.141 -3.320 0.290 Cl
3.559 -11.066 0.740 Cl
-0.277 -5.363 5.970 Cl
2.987 -8.917 10.822 Cl
0.041 -8.171 3.699 Cl
0.294 -7.511 -4.112 Cl
3.241 -8.258 3.011 Cl
-0.024 -4.703 -1.841 Cl
3.305 -11.725 8.551 Cl
6.388 -6.891 5.900 Cl
-3.107 -9.537 0.810 Cl
2.610 -11.568 4.122 Cl
0.672 -4.860 2.587 Cl
2.353 -7.898 6.579 Cl
0.929 -8.530 0.131 Cl
7.184 -10.227 3.104 Cl
-3.903 -6.201 3.606 Cl


Entry 5:
Rb2YCl5 GGA-PBE relaxed; magnetization = 0.0 Bohr magnetons per cell; E_form (uncorrected) = -2.160 eV per atom; space group = Pnma (62); ΔE to the lowest computed polymorph = 0.05 kcal/mol of atoms; D(E_F) = 0.0 states/eV/cell; volume = 270.54 Å³/f.u.
1.0
7.434 0.000 0.000
0.000 9.752 0.000
0.000 0.000 14.928
Rb Y Cl
8 4 20
Cartesian
1.859 6.436 13.673 Rb
5.576 3.315 1.255 Rb
5.576 8.191 6.209 Rb
1.859 1.560 8.719 Rb
1.859 9.536 3.208 Rb
5.576 0.216 11.719 Rb
5.576 5.091 10.672 Rb
1.859 4.660 4.255 Rb
1.859 6.684 8.374 Y
5.576 3.067 6.553 Y
5.576 7.943 0.910 Y
1.859 1.808 14.017 Y
1.859 5.261 10.557 Cl
5.576 4.490 4.371 Cl
5.576 9.366 3.093 Cl
1.859 0.386 11.835 Cl
3.769 8.260 9.105 Cl
3.665 1.492 5.822 Cl
3.665 6.368 1.641 Cl
0.052 1.492 5.822 Cl
3.769 3.384 13.286 Cl
7.382 8.260 9.105 Cl
7.382 3.384 13.286 Cl
0.052 6.368 1.641 Cl
1.859 7.570 5.865 Cl
5.576 2.181 9.063 Cl
5.576 7.057 13.329 Cl
1.859 2.695 1.599 Cl
0.000 4.876 7.464 Cl
0.000 0.000 0.000 Cl
3.717 4.876 7.464 Cl
3.717 0.000 0.000 Cl


Entry 6:
Rb5Y2Cl12 GGA-PBE relaxed; magnetization = 0.0 Bohr magnetons per cell; E_form (uncorrected) = -1.919 eV per atom; space group = C2/m (12); D(E_F) = 19.2 states/eV/cell; volume = 647.15 Å³/f.u.
1.0
8.100 -0.133 1.558
0.970 8.610 3.808
-0.246 0.554 9.445
Rb Y Cl
5 2 12
Cartesian
0.278 2.266 3.298 Rb
4.461 3.286 5.658 Rb
4.050 -0.066 0.779 Rb
4.363 5.745 9.153 Rb
8.546 6.765 11.513 Rb
0.669 6.615 5.204 Y
0.055 2.549 8.049 Y
6.919 0.595 2.344 Cl
1.766 1.660 6.159 Cl
2.241 4.811 3.954 Cl
6.222 1.129 8.197 Cl
6.953 5.978 4.804 Cl
7.118 4.088 7.378 Cl
1.706 4.943 7.434 Cl
2.603 7.902 6.615 Cl
1.871 3.053 10.008 Cl
7.058 7.371 8.652 Cl
6.583 4.220 10.857 Cl
1.905 8.436 12.468 Cl


Entry 7:
RbYCl2 GGA-PBE relaxed; magnetization = 2.0 Bohr magnetons per cell; E_form (uncorrected) = -0.977 eV per atom; space group = Fm-3m (225); ΔE to the lowest computed polymorph = 11.40 kcal/mol of atoms; D(E_F) = 2.3 states/eV/cell; volume = 107.52 Å³/f.u.
1.0
0.000 3.774 3.774
3.774 0.000 3.774
3.774 3.774 0.000
Y Rb Cl
1 1 2
Cartesian
3.774 3.774 3.774 Y
0.000 0.000 0.000 Rb
1.887 1.887 1.887 Cl
5.661 5.661 5.661 Cl


Entry 8:
RbY2Cl GGA-PBE relaxed; magnetization = 0.0 Bohr magnetons per cell; E_form (uncorrected) = 0.069 eV per atom; space group = I-42d (122); ΔE to the lowest computed polymorph = 0.00 kcal/mol of atoms; D(E_F) = 10.9 states/eV/cell; volume = 190.49 Å³/f.u.
1.0
6.617 0.000 0.000
0.000 6.617 0.000
3.309 3.309 8.700
Y Rb Cl
4 2 2
Cartesian
3.304 1.654 2.175 Y
3.314 4.963 2.175 Y
4.963 6.623 6.525 Y
8.272 6.612 6.525 Y
0.000 0.000 0.000 Rb
6.617 3.309 4.350 Rb
3.309 3.309 0.000 Cl
3.309 6.617 4.350 Cl


Entry 9:
RbYCl4 GGA-PBE relaxed; magnetization = 0.0 Bohr magnetons per cell; E_form (uncorrected) = -2.197 eV per atom; space group = C2/c (15); ΔE to the lowest computed polymorph = 0.00 kcal/mol of atoms; D(E_F) = 0.0 states/eV/cell; volume = 212.89 Å³/f.u.
1.0
8.209 0.147 0.000
-1.007 6.709 0.000
-3.601 -3.428 7.711
Rb Y Cl
2 2 8
Cartesian
1.549 3.391 1.474 Rb
2.052 0.037 6.237 Rb
-2.555 3.317 5.101 Y
6.157 0.111 2.610 Y
7.243 1.586 0.825 Cl
4.064 5.344 0.825 Cl
-0.669 1.506 4.496 Cl
4.270 1.922 3.215 Cl
-1.172 4.860 3.215 Cl
-0.463 -1.916 6.886 Cl
4.773 -1.432 4.496 Cl
-3.642 1.842 6.886 Cl


Entry 10:
Rb2YZrCl6 GGA-PBE relaxed; magnetization = 3.0 Bohr magnetons per cell; E_form (uncorrected) = -1.709 eV per atom; space group = Fm-3m (225); D(E_F) = 2.5 states/eV/cell; volume = 301.02 Å³/f.u.
1.0
-6.782 1.252 3.002
-1.315 -7.405 0.117
-1.945 -3.373 6.437
Y Rb Zr Cl
1 2 1 6
Cartesian
-4.049 -3.077 1.559 Y
-6.388 -2.599 5.499 Rb
-3.654 -6.928 4.057 Rb
0.000 0.000 0.000 Zr
-2.996 -3.225 4.000 Cl
-7.046 -6.301 5.556 Cl
-2.023 -1.537 0.779 Cl
-6.074 -4.616 2.340 Cl
-5.416 -0.911 2.281 Cl
-2.681 -5.242 0.838 Cl


Entry 11:
Rb3YbCl6 GGA-PBE relaxed; magnetization = 4.6 Bohr magnetons per cell; E_form (uncorrected) = -1.952 eV per atom; space group = C2/c (15); D(E_F) = 61.4 states/eV/cell; volume = 333.98 Å³/f.u.
1.0
-12.581 4.909 -1.210
-11.650 2.573 6.443
2.205 12.324 3.494
Rb Yb Cl
12 4 24
Cartesian
-13.031 4.268 5.124 Rb
-8.996 15.538 3.602 Rb
-9.607 8.144 5.891 Rb
-12.419 11.662 2.835 Rb
-14.899 8.819 6.031 Rb
-7.128 10.987 2.695 Rb
-7.895 3.985 3.703 Rb
-14.131 15.822 5.023 Rb
-7.783 7.008 0.422 Rb
-14.244 12.798 8.305 Rb
-15.932 8.105 1.748 Rb
-6.095 11.702 6.978 Rb
-11.844 7.522 1.197 Yb
-10.183 12.284 7.529 Yb
-6.291 2.455 -0.605 Yb
-4.723 7.449 4.968 Yb
-16.017 5.825 4.158 Cl
-6.009 13.981 4.568 Cl
-7.017 7.582 3.599 Cl
-15.009 12.225 5.127 Cl
-10.322 5.672 2.333 Cl
-11.705 14.134 6.393 Cl
-12.951 8.333 3.465 Cl
-9.075 11.474 5.261 Cl
-19.821 6.493 4.667 Cl
-2.206 13.314 4.059 Cl
-3.248 7.001 2.806 Cl
-18.778 12.805 5.920 Cl
-21.139 15.599 7.736 Cl
-0.888 4.207 0.990 Cl
0.303 10.147 3.463 Cl
-22.330 9.659 5.264 Cl
-10.062 9.424 1.572 Cl
-11.965 10.382 7.154 Cl
-13.623 5.614 0.843 Cl
-8.404 14.193 7.884 Cl
-5.755 4.464 1.079 Cl
-16.272 15.342 7.647 Cl
-17.591 9.722 4.125 Cl
-4.436 10.084 4.602 Cl


Entry 12:
Rb3Zn2Cl8 GGA-PBE relaxed; magnetization = 0.0 Bohr magnetons per cell; E_form (uncorrected) = -1.410 eV per atom; space group = R-3m (166); D(E_F) = 17.8 states/eV/cell; volume = 408.66 Å³/f.u.
1.0
-2.410 -6.318 -2.148
-2.786 -4.521 4.705
-10.212 0.112 -0.591
Rb Zn Cl
3 2 8
Cartesian
0.000 0.000 0.000 Rb
-10.466 -8.524 1.660 Rb
-4.942 -2.203 0.306 Rb
-5.269 -6.433 1.397 Zn
-10.139 -4.294 0.569 Zn
-13.448 -7.214 1.153 Cl
-1.960 -3.513 0.813 Cl
-5.708 -4.695 2.807 Cl
-5.514 -5.620 -0.719 Cl
-6.948 -7.946 1.702 Cl
-9.894 -5.107 2.685 Cl
-9.700 -6.032 -0.841 Cl
-8.460 -2.781 0.264 Cl